VASP calculation (PBE) on a geometry-optimized SmNi2AsH structure.

Cell lengths 3.8990, 5.5382, 6.7650 Å; angles 90.00, 90.00, 110.61 degrees
Positions (direct):
1 H 0.0000 0.0000 0.5000
2 H 0.0000 0.0000 0.0000
3 As 0.2804 0.5607 0.2500
4 As 0.7196 0.4393 0.7500
5 Ni 0.8408 0.6815 0.4418
6 Ni 0.8408 0.6815 0.0582
7 Ni 0.1592 0.3185 0.9418
8 Ni 0.1592 0.3185 0.5582
9 Sm 0.4361 0.8722 0.7500
10 Sm 0.5639 0.1278 0.2500

Values from the calculation:
DFT total energy: -55.32 eV/cell



VASP calculation (PBE) on a geometry-optimized NiSnAs2H structure.

Cell lengths 4.1861, 4.5438, 4.1861 Å; angles 90.00, 90.00, 90.00 degrees
Positions (direct):
1 As 0.0000 0.0000 0.5000
2 As 0.5000 0.0000 0.0000
3 Sn 0.0000 0.5000 0.0000
4 Ni 0.5000 0.5000 0.5000
5 H 0.0000 0.0000 0.0000

Values from the calculation:
DFT total energy: -19.70 eV/cell



VASP calculation (PBE) on a geometry-optimized Sr2NiAs2H4 structure.

Cell lengths 5.7937, 5.7937, 5.7937 Å; angles 96.33, 116.42, 116.42 degrees
Last column: magnetic moment on the atom in μB.
Positions (direct):
1 Sr 0.5000 0.2500 0.7500  0.04
2 Sr 0.5000 0.7500 0.2500  0.04
3 As 0.0000 0.6585 0.6585  0.20
4 As 0.0000 0.3415 0.3415  0.20
5 H 0.0000 0.1784 0.8216  0.01
6 H 0.6433 0.8216 0.8216  0.01
7 H 0.3567 0.1784 0.1784  0.01
8 H 0.0000 0.8216 0.1784  0.01
9 Ni 0.0000 0.0000 0.0000  0.10

Values from the calculation:
DFT total energy: -34.52 eV/cell



VASP calculation (PBE) on a geometry-optimized SrNiAsH structure.

Cell lengths 4.1197, 4.1197, 8.1964 Å; angles 90.00, 90.00, 90.00 degrees
Positions (direct):
1 As 0.5000 0.0000 0.1432
2 As 0.0000 0.5000 0.8568
3 Sr 0.5000 0.0000 0.6654
4 Sr 0.0000 0.5000 0.3346
5 H 0.0000 0.0000 0.5000
6 H 0.5000 0.5000 0.5000
7 Ni 0.5000 0.5000 0.0000
8 Ni 0.0000 0.0000 0.0000

Values from the calculation:
DFT total energy: -36.18 eV/cell



no.,calculated volume (A^3/atom),size of the total moment (μB per cell)
1,13.7,0.00
2,15.9,0.00
3,16.0,1.17
4,17.4,0.00